(1)
SnBOsI2: relaxed, PBE.

Output
spin magnetization	3.3	μB/f.u.
crystal system	tetragonal
space group	P4/mmm
Fermi-level density of states	0.927	states/eV per atom
E_tot	-0.1103	hartree per atom

Cell lengths 6.084, 4.249, 6.084 Å; angles 90.00, 90.00, 90.00 degrees
Each line ends with the local moment (μB).
Atoms (fractional coordinates):
1 I 0.000 0.000 0.500  0.05
2 I 0.500 0.000 0.000  0.07
3 B 0.000 0.500 0.000  -0.33
4 Os 0.500 0.500 0.500  3.33
5 Sn 0.000 0.000 0.000  -0.04

***

(2)
SrB2OsI: relaxed, PBE.

Output
spin magnetization	0.0	μB/f.u.
crystal system	tetragonal
space group	P4/mmm
Fermi-level density of states	0.258	states/eV per atom
E_tot	-0.1896	hartree per atom

Cell lengths 4.272, 6.245, 4.272 Å; angles 90.00, 90.00, 90.00 degrees
Atoms (fractional coordinates):
1 I 0.500 0.500 0.500
2 Sr 0.000 0.500 0.000
3 B 0.000 0.000 0.500
4 B 0.500 0.000 0.000
5 Os 0.000 0.000 0.000

***

(3)
BTe2OsI: relaxed, PBE.

Output
spin magnetization	0.2	μB/f.u.
crystal system	tetragonal
space group	P4/mmm
energy above the most stable polymorph in this dataset	0	meV per atom
Fermi-level density of states	1.425	states/eV per atom

Cell lengths 5.139, 5.139, 5.760 Å; angles 90.00, 90.00, 90.00 degrees
Each line ends with the local moment (μB).
Atoms (fractional coordinates):
1 I 0.000 0.000 0.500  0.00
2 B 0.500 0.500 0.500  0.02
3 Te 0.000 0.500 0.000  0.01
4 Te 0.500 0.000 0.000  0.01
5 Os 0.000 0.000 0.000  0.09

***

(4)
BTeOsI2: relaxed, PBE.

Output
spin magnetization	0.0	μB/f.u.
crystal system	tetragonal
space group	P4/mmm
energy above the most stable polymorph in this dataset	83	meV per atom
Fermi-level density of states	0.816	states/eV per atom

Cell lengths 5.631, 5.631, 4.975 Å; angles 90.00, 90.00, 90.00 degrees
Atoms (fractional coordinates):
1 I 0.000 0.500 0.000
2 I 0.500 0.000 0.000
3 B 0.500 0.500 0.500
4 Te 0.000 0.000 0.500
5 Os 0.000 0.000 0.000

***

(5)
BTeOsI2: relaxed, PBE.

Output
spin magnetization	2.2	μB/f.u.
crystal system	tetragonal
space group	P4/mmm
energy above the most stable polymorph in this dataset	347	meV per atom
Fermi-level density of states	1.251	states/eV per atom

Cell lengths 4.812, 4.812, 4.926 Å; angles 90.00, 90.00, 90.00 degrees
Each line ends with the local moment (μB).
Atoms (fractional coordinates):
1 I 0.000 0.500 0.000  0.07
2 I 0.500 0.000 0.000  0.07
3 B 0.000 0.000 0.000  0.00
4 Te 0.000 0.000 0.500  -0.05
5 Os 0.500 0.500 0.500  1.90

***

(6)
BTe2OsI: relaxed, PBE.

Output
spin magnetization	0.0	μB/f.u.
crystal system	tetragonal
space group	P4/mmm
energy above the most stable polymorph in this dataset	45	meV per atom
Fermi-level density of states	0.676	states/eV per atom

Cell lengths 4.700, 4.700, 4.711 Å; angles 90.00, 90.00, 90.00 degrees
Atoms (fractional coordinates):
1 I 0.000 0.000 0.500
2 B 0.000 0.000 0.000
3 Te 0.000 0.500 0.000
4 Te 0.500 0.000 0.000
5 Os 0.500 0.500 0.500

***

(7)
BTeOsI2: relaxed, PBE.

Output
spin magnetization	0.0	μB/f.u.
crystal system	tetragonal
space group	P4/mmm
energy above the most stable polymorph in this dataset	0	meV per atom
Fermi-level density of states	0.931	states/eV per atom

Cell lengths 5.203, 4.205, 5.203 Å; angles 90.00, 90.00, 90.00 degrees
Atoms (fractional coordinates):
1 I 0.000 0.000 0.500
2 I 0.500 0.000 0.000
3 B 0.000 0.000 0.000
4 Te 0.500 0.500 0.500
5 Os 0.000 0.500 0.000

***

(8)
B3PI: relaxed, PBE.

Output
spin magnetization	0.0	μB/f.u.
crystal system	cubic
space group	Pm-3m
energy above the most stable polymorph in this dataset	1197	meV per atom
Fermi-level density of states	0.513	states/eV per atom

Cell lengths 4.398, 4.398, 4.398 Å; angles 90.00, 90.00, 90.00 degrees
Atoms (fractional coordinates):
1 I 0.000 0.000 0.000
2 P 0.500 0.500 0.500
3 B 0.000 0.500 0.000
4 B 0.000 0.000 0.500
5 B 0.500 0.000 0.000

***

(9)
BPI3: relaxed, PBE.

Output
spin magnetization	0.0	μB/f.u.
crystal system	cubic
space group	Pm-3m
energy above the most stable polymorph in this dataset	0	meV per atom
Fermi-level density of states	0.383	states/eV per atom

Cell lengths 5.518, 5.518, 5.518 Å; angles 90.00, 90.00, 90.00 degrees
Atoms (fractional coordinates):
1 I 0.000 0.500 0.000
2 I 0.000 0.000 0.500
3 I 0.500 0.000 0.000
4 P 0.000 0.000 0.000
5 B 0.500 0.500 0.500

***

(10)
BP3I: relaxed, PBE.

Output
spin magnetization	1.1	μB/f.u.
crystal system	cubic
space group	Pm-3m
energy above the most stable polymorph in this dataset	1412	meV per atom
Fermi-level density of states	1.050	states/eV per atom

Cell lengths 5.162, 5.162, 5.162 Å; angles 90.00, 90.00, 90.00 degrees
Each line ends with the local moment (μB).
Atoms (fractional coordinates):
1 I 0.000 0.000 0.000  0.00
2 P 0.000 0.500 0.000  0.18
3 P 0.000 0.000 0.500  0.23
4 P 0.500 0.000 0.000  0.12
5 B 0.500 0.500 0.500  -0.01

***

(11)
B3PI: relaxed, PBE.

Output
spin magnetization	0.0	μB/f.u.
crystal system	cubic
space group	Pm-3m
energy above the most stable polymorph in this dataset	0	meV per atom
Fermi-level density of states	0.600	states/eV per atom

Cell lengths 4.078, 4.078, 4.078 Å; angles 90.00, 90.00, 90.00 degrees
Atoms (fractional coordinates):
1 I 0.500 0.500 0.500
2 P 0.000 0.000 0.000
3 B 0.000 0.500 0.000
4 B 0.000 0.000 0.500
5 B 0.500 0.000 0.000

***

(12)
BP3I: relaxed, PBE.

Output
spin magnetization	0.0	μB/f.u.
crystal system	cubic
space group	Pm-3m
energy above the most stable polymorph in this dataset	0	meV per atom
Fermi-level density of states	0.439	states/eV per atom

Cell lengths 4.318, 4.318, 4.318 Å; angles 90.00, 90.00, 90.00 degrees
Atoms (fractional coordinates):
1 I 0.500 0.500 0.500
2 P 0.000 0.500 0.000
3 P 0.000 0.000 0.500
4 P 0.500 0.000 0.000
5 B 0.000 0.000 0.000

***

(13)
BPPdI: relaxed, PBE.

Output
spin magnetization	0.0	μB/f.u.
crystal system	triclinic
space group	P1
energy above the most stable polymorph in this dataset	65	meV per atom
Fermi-level density of states	0.279	states/eV per atom

Cell lengths 3.310, 4.191, 6.568 Å; angles 98.59, 100.61, 109.62 degrees
Atoms (fractional coordinates):
1 I 0.787 0.497 0.922
2 P 0.893 0.928 0.481
3 B 0.523 0.131 0.597
4 Pd 0.664 0.337 0.321

***

(14)
BPPdI: relaxed, PBE.

Output
spin magnetization	0.0	μB/f.u.
crystal system	monoclinic
space group	Pm
energy above the most stable polymorph in this dataset	61	meV per atom
Fermi-level density of states	0.536	states/eV per atom

Cell lengths 4.004, 3.209, 7.098 Å; angles 90.00, 106.08, 90.00 degrees
Atoms (fractional coordinates):
1 I 0.741 0.000 0.095
2 P 0.978 0.500 0.574
3 B 0.901 0.000 0.418
4 Pd 0.487 0.000 0.593

***

(15)
BPPdI: relaxed, PBE.

Output
spin magnetization	0.0	μB/f.u.
crystal system	triclinic
space group	P1
energy above the most stable polymorph in this dataset	0	meV per atom
Fermi-level density of states	0.375	states/eV per atom

Cell lengths 3.262, 3.318, 9.023 Å; angles 85.16, 86.74, 60.53 degrees
Atoms (fractional coordinates):
1 I 0.864 0.877 0.989
2 P 0.032 0.381 0.522
3 B 0.703 0.039 0.520
4 Pd 0.852 0.811 0.290

***

(16)
BPPdI: relaxed, PBE.

Output
spin magnetization	0.0	μB/f.u.
crystal system	triclinic
space group	P1
energy above the most stable polymorph in this dataset	323	meV per atom
Fermi-level density of states	0.878	states/eV per atom

Cell lengths 3.255, 4.605, 6.892 Å; angles 101.64, 90.01, 110.56 degrees
Atoms (fractional coordinates):
1 I 0.849 0.613 0.016
2 P 0.468 0.854 0.486
3 B 0.932 0.781 0.350
4 Pd 0.537 0.990 0.826

***

(17)
BPPdI: relaxed, PBE.

Output
spin magnetization	0.0	μB/f.u.
crystal system	triclinic
space group	P1
energy above the most stable polymorph in this dataset	140	meV per atom
Fermi-level density of states	0.163	states/eV per atom

Cell lengths 3.774, 4.225, 7.574 Å; angles 76.95, 76.16, 63.47 degrees
Atoms (fractional coordinates):
1 I 0.796 0.704 0.971
2 P 0.152 0.465 0.476
3 B 0.949 0.666 0.690
4 Pd 0.433 0.839 0.543

***

(18)
BPPdI: relaxed, PBE.

Output
spin magnetization	0.0	μB/f.u.
crystal system	monoclinic
space group	Pm
energy above the most stable polymorph in this dataset	141	meV per atom
Fermi-level density of states	0.335	states/eV per atom

Cell lengths 4.310, 3.169, 6.950 Å; angles 90.00, 92.50, 90.00 degrees
Atoms (fractional coordinates):
1 I 0.994 0.000 0.007
2 P 0.360 0.500 0.515
3 B 0.574 0.000 0.460
4 Pd 0.859 0.500 0.339

***

(19)
BPPdI: relaxed, PBE.

Output
spin magnetization	0.0	μB/f.u.
crystal system	triclinic
space group	P1
energy above the most stable polymorph in this dataset	97	meV per atom
Fermi-level density of states	0.215	states/eV per atom

Cell lengths 3.175, 4.356, 7.374 Å; angles 85.26, 77.88, 68.45 degrees
Atoms (fractional coordinates):
1 I 0.851 0.183 0.037
2 P 0.191 0.045 0.505
3 B 0.705 0.170 0.350
4 Pd 0.948 0.609 0.429

***

(20)
BPPdI: relaxed, PBE.

Output
spin magnetization	0.0	μB/f.u.
crystal system	monoclinic
space group	Cm
energy above the most stable polymorph in this dataset	105	meV per atom
Fermi-level density of states	0.486	states/eV per atom

Cell lengths 6.985, 3.163, 8.137 Å; angles 90.00, 91.80, 90.00 degrees
Atoms (fractional coordinates):
1 I 0.972 0.000 0.166
2 I 0.972 0.500 0.666
3 P 0.489 0.000 0.588
4 P 0.489 0.500 0.088
5 B 0.650 0.000 0.154
6 B 0.650 0.500 0.654
7 Pd 0.569 0.000 0.871
8 Pd 0.569 0.500 0.371